VASP calculation (GGA-PBE) on an optimized crystal structure of Mo2RhBr.

Cell: 3.027 4.465 4.817 Å, 90.00 90.00 90.00°
Fractional coordinates of all 4 atoms:
Mo  0.000  0.000  0.000
Mo  0.500  0.500  0.000
Rh  0.000  0.500  0.500
Br  0.500  0.000  0.500

Computed properties:
- E_form (uncorrected): 0.729 eV/atom
- Space group: No. 47
- Crystal system: orthorhombic
- E: -27.77 eV for the cell shown